A relaxed Rh3SeI crystal, computed with PBE.

```
5
Lattice="-1.2930 -2.8745 -3.4442 -2.3127 -2.6442 3.0751 -3.8440 2.5577 -0.6916" Properties=species:S:1:pos:R:3 pbc="T T T"
Rh -1.1564 -1.3221 1.5376
Rh -1.9220 1.2789 -0.3458
I -3.7249 -1.4805 -0.5304
Rh -0.6465 -1.4373 -1.7221
Se 0.0000 0.0000 0.0000
```

**Formation energy from raw total energies**: 0.572 eV/atom
**DOS(E_F)**: 4.73 states/eV per cell
**Relative energy among the computed polymorphs**: 0.0000 eV per atom
**Total DFT energy (no corrections)**: -24.2 eV/f.u.

A relaxed Na2AcC2O6 crystal, computed with PBE.

```
11
Lattice="-2.4525 -0.5571 -4.5319 4.6299 -2.2122 0.7302 -3.8819 -7.1413 2.9786" Properties=species:S:1:pos:R:3 pbc="T T T"
O -1.7064 -7.6516 0.3916
O -1.3682 -6.9543 2.5043
O 0.0020 -2.2590 -1.2147
O 0.1798 -8.2242 1.4772
C -0.7441 -2.3090 -2.2773
Na 0.9653 -4.0590 -0.0234
O -0.3362 -2.9563 -3.3274
Ac 0.0000 0.0000 0.0000
Na -2.6698 -5.8516 -0.7997
O -1.8842 -1.6864 -2.3002
C -0.9604 -7.6016 1.4542
```

**Formation energy from raw total energies**: -1.869 eV/atom
**DOS(E_F)**: 1.31 states/eV per cell
**Total DFT energy (no corrections)**: -75.5 eV/f.u.

A relaxed LaScV3 crystal, computed with PBE.

```
5
Lattice="4.9032 0.0000 0.0000 0.0000 4.9032 0.0000 0.0000 0.0000 4.9032" Properties=species:S:1:pos:R:3 pbc="T T T"
Sc 0.0000 0.0000 0.0000
V 0.0000 0.0000 2.4516
La 2.4516 2.4516 2.4516
V 0.0000 2.4516 0.0000
V 2.4516 0.0000 0.0000
```

**DOS(E_F)**: 7.35 states/eV per cell
**Relative energy among the computed polymorphs**: 0.0000 eV per atom
**Calculated formation energy**: 1.158 eV/atom
**Total DFT energy (no corrections)**: -32.8 eV/f.u.

A relaxed Zn4CoCu2 crystal, computed with PBE.

```
7
Lattice="3.9163 0.0000 0.0000 0.0000 4.8632 -1.3834 0.0000 0.2088 5.0518" Properties=species:S:1:pos:R:3 pbc="T T T"
Cu 0.0000 3.5467 0.4367
Co 1.9582 2.5360 1.8342
Zn 1.9582 0.1044 2.5259
Zn 0.0000 1.0627 0.7686
Zn 1.9582 2.4316 -0.6917
Zn 0.0000 4.0093 2.8998
Cu 0.0000 1.5253 3.2317
```

**DOS(E_F)**: 3.65 states/eV per cell
**Calculated formation energy**: -0.012 eV/atom
**Total DFT energy (no corrections)**: -20.5 eV/f.u.

A relaxed CrCBr2 crystal, computed with PBE.

```
8
Lattice="-5.8825 -0.1137 0.4533 -0.0599 -5.4933 -2.1546 -2.5964 -4.5440 3.5764" Properties=species:S:1:pos:R:3 pbc="T T T"
Br -4.4260 -1.8955 0.9153
C -2.9712 -2.8035 -0.8506
Cr 0.0000 0.0000 0.0000
Br -4.1747 -5.4239 2.0783
Br -7.1478 -8.4008 1.1597
C -2.8137 -6.4204 0.2856
Cr -5.7251 -3.7306 1.5896
Br -1.3290 -4.5817 -0.4030
```

**Formation energy from raw total energies**: 1.846 eV/atom
**DOS(E_F)**: 5.42 states/eV per cell
**Relative energy among the computed polymorphs**: 0.5385 eV per atom
**Total DFT energy (no corrections)**: -14.8 eV/f.u.

A relaxed SrBiSb crystal, computed with PBE.

```
3
Lattice="-0.3808 -0.3803 -4.2589 -0.7721 -4.1994 0.4440 -4.9688 3.3519 2.3085" Properties=species:S:1:pos:R:3 pbc="T T T"
Bi -2.7391 0.5246 0.1981
Sr -5.5908 -1.3295 -1.5448
Sb -2.2501 -1.9693 -1.7864
```

**Formation energy from raw total energies**: -0.465 eV/atom
**DOS(E_F)**: 1.03 states/eV per cell
**Relative energy among the computed polymorphs**: 0.1697 eV per atom
**Total DFT energy (no corrections)**: -11.1 eV/f.u.